# 1
HoHfRhAu PBE relaxed; energy relative to the elements = -672 meV per atom; calculated volume = 19.9 Å³ per atom; electronic total energy = -27.85 eV for the cell shown
1.0
-4.167 1.716 -1.737
-4.194 -1.844 1.526
-2.901 2.620 2.835
Hf Au Ho Rh
1 1 1 1
Direct
0.250 0.250 0.250
0.000 0.000 0.000
0.750 0.750 0.750
0.500 0.500 0.500

---

# 2
HoHfRuAu PBE relaxed; energy relative to the elements = -503 meV per atom; calculated volume = 19.7 Å³ per atom; electronic total energy = -29.09 eV for the cell shown
1.0
4.815 0.000 0.000
2.408 4.170 0.000
2.408 1.390 3.932
Hf Au Ho Ru
1 1 1 1
Direct
0.000 0.000 0.000
0.250 0.250 0.250
0.500 0.500 0.500
0.750 0.750 0.750

---

# 3
HoHfTcAu PBE relaxed; energy relative to the elements = -380 meV per atom; calculated volume = 19.7 Å³ per atom; electronic total energy = -29.70 eV for the cell shown
1.0
4.815 0.000 0.000
2.408 4.170 0.000
2.408 1.390 3.932
Hf Au Ho Tc
1 1 1 1
Direct
0.750 0.750 0.750
0.500 0.500 0.500
0.250 0.250 0.250
0.000 0.000 0.000

---

# 4
HoHfZnAu PBE relaxed; energy relative to the elements = -360 meV per atom; calculated volume = 20.8 Å³ per atom; electronic total energy = -20.52 eV for the cell shown
1.0
4.902 0.000 0.000
2.451 4.246 0.000
2.451 1.415 4.003
Hf Zn Au Ho
1 1 1 1
Direct
0.750 0.750 0.750
0.000 0.000 0.000
0.500 0.500 0.500
0.250 0.250 0.250

---

# 5
HfAu3I PBE relaxed; E_form (uncorrected) = 0.568 eV/atom; energy above the most stable polymorph in this dataset = 0.0 kJ/mol of atoms; calculated volume = 29.8 Å³ per atom; electronic total energy = -18.50 eV for the cell shown
1.0
5.303 0.000 0.000
0.000 5.303 0.000
0.000 0.000 5.303
I Hf Au
1 1 3
Direct
0.500 0.500 0.500
0.000 0.000 0.000
0.000 0.500 0.000
0.000 0.000 0.500
0.500 0.000 0.000

---

# 6
HfAuI3 PBE relaxed; E_form (uncorrected) = 0.027 eV/atom; energy above the most stable polymorph in this dataset = 0.0 kJ/mol of atoms; calculated volume = 35.8 Å³ per atom; electronic total energy = -17.75 eV for the cell shown
1.0
-4.660 -0.975 -3.015
3.117 -0.446 -4.673
0.570 -5.532 0.908
I Hf Au
3 1 1
Direct
0.000 0.500 0.000
0.000 0.000 0.500
0.500 0.000 0.000
0.000 0.000 0.000
0.500 0.500 0.500

---

# 7
HfAuI2 PBE relaxed; E_form (uncorrected) = 0.241 eV/atom; energy above the most stable polymorph in this dataset = 38.5 kJ/mol of atoms; calculated volume = 24.7 Å³ per atom; electronic total energy = -15.37 eV for the cell shown
1.0
0.000 3.667 3.667
3.667 0.000 3.667
3.667 3.667 0.000
I Hf Au
2 1 1
Direct
0.250 0.250 0.250
0.750 0.750 0.750
0.000 0.000 0.000
0.500 0.500 0.500

---

# 8
HfAuI2 PBE relaxed; E_form (uncorrected) = -0.159 eV/atom; energy above the most stable polymorph in this dataset = 0.0 kJ/mol of atoms; calculated volume = 36.9 Å³ per atom; electronic total energy = -33.93 eV for the cell shown
1.0
-7.481 7.314 -0.052
-5.837 -6.015 -6.262
-7.796 -0.499 -0.994
I Hf Au
4 2 2
Direct
0.471 0.125 0.250
0.279 0.625 0.250
0.375 0.529 0.750
0.875 0.721 0.750
0.500 0.500 0.000
0.250 0.750 0.500
0.000 0.000 0.000
0.750 0.250 0.500